# NaAl2Au3 (PBE, optimized geometry)
data_NaAl2Au3
_chemical_formula_sum 'Na4 Al8 Au12'
_cell_length_a 10.980
_cell_length_b 8.384
_cell_length_c 5.554
_cell_angle_alpha 90.00
_cell_angle_beta 90.00
_cell_angle_gamma 90.00
_symmetry_space_group_name_H-M 'C m c m'
_symmetry_Int_Tables_number 63
_symmetry_space_group_name_Hall '-C 2c 2'
loop_
_atom_site_label
_atom_site_type_symbol
_atom_site_fract_x
_atom_site_fract_y
_atom_site_fract_z
Na1 Na 0.000 0.175 0.250
Al1 Al 0.201 0.500 0.000
Au1 Au 0.000 0.434 0.750
Au2 Au 0.196 0.214 0.750
# - Total DFT energy (no corrections): -3.5149 eV/atom
# - Theoretical density: 8676 kg/m3

# CsYFeS3 (PBE, optimized geometry)
data_CsYFeS3
_chemical_formula_sum 'Cs2 Y2 Fe2 S6'
_cell_length_a 9.423
_cell_length_b 3.991
_cell_length_c 9.753
_cell_angle_alpha 90.00
_cell_angle_beta 111.80
_cell_angle_gamma 90.00
_symmetry_space_group_name_H-M 'P 1 21/m 1'
_symmetry_Int_Tables_number 11
loop_
_symmetry_equiv_pos_as_xyz
'x,y,z'
'-x,-y,-z'
'-x,y+1/2,-z'
'x,-y+1/2,z'
loop_
_atom_site_label
_atom_site_type_symbol
_atom_site_fract_x
_atom_site_fract_y
_atom_site_fract_z
Cs1 Cs 0.210 0.250 0.237
Y1 Y 0.337 0.750 0.852
Fe1 Fe 0.077 0.250 0.593
S1 S 0.127 0.250 0.840
S2 S 0.188 0.750 0.540
S3 S 0.467 0.750 0.150
# - Total DFT energy (no corrections): -6.0217 eV/atom
# - Magnetic moment: 4.002 μB per formula unit
# - Theoretical density: 3645 kg/m3

# Nb4InB2Au (PBE, optimized geometry)
data_Nb4InB2Au
_chemical_formula_sum 'Nb4 In1 B2 Au1'
_cell_length_a 3.2297
_cell_length_b 3.2297
_cell_length_c 14.3517
_cell_angle_alpha 90.00
_cell_angle_beta 90.00
_cell_angle_gamma 120.00
_symmetry_space_group_name_H-M 'P -6 m 2'
_symmetry_Int_Tables_number 187
_symmetry_space_group_name_Hall 'P -6 2'
loop_
_atom_site_label
_atom_site_type_symbol
_atom_site_fract_x
_atom_site_fract_y
_atom_site_fract_z
Nb1 Nb 0.0000 0.0000 0.1571
Nb2 Nb 0.6667 0.3333 0.3314
In1 In 0.0000 0.0000 0.5000
B1 B 0.3333 0.6667 0.2445
Au1 Au 0.6667 0.3333 0.0000
# - Total DFT energy (no corrections): -7.8189 eV/atom
# - Magnetic moment: 0.001 μB per formula unit
# - Theoretical density: 9031 kg/m3

# HoZrGa4Ir2 (PBE, optimized geometry)
data_HoZrGa4Ir2
_chemical_formula_sum 'Ho1 Zr1 Ga4 Ir2'
_cell_length_a 4.252
_cell_length_b 6.688
_cell_length_c 5.417
_cell_angle_alpha 90.00
_cell_angle_beta 113.02
_cell_angle_gamma 90.00
_symmetry_space_group_name_H-M 'P 1 m 1'
_symmetry_Int_Tables_number 6
loop_
_symmetry_equiv_pos_as_xyz
'x,y,z'
'x,-y,z'
loop_
_atom_site_label
_atom_site_type_symbol
_atom_site_fract_x
_atom_site_fract_y
_atom_site_fract_z
Ho1 Ho 0.000 0.000 0.000
Zr1 Zr 0.163 0.500 0.327
Ga1 Ga 0.449 0.305 0.898
Ga2 Ga 0.714 0.202 0.428
Ir1 Ir 0.289 0.000 0.579
Ir2 Ir 0.875 0.500 0.750
# - Total DFT energy (no corrections): -6.0738 eV/atom
# - Magnetic moment: 0.009 μB per formula unit
# - Theoretical density: 10769 kg/m3